Record 1
Compound: NaAl2Tl2
Source: Alexandria via LeMat-Bulk
Functional: PBE
Structure: optimized geometry

Results
- M_tot: 0.0 μB per cell
- Crystal system: tetragonal
- Fermi-level density of states: 0.3904 states/eV/atom
- Formation energy from the elements: 3.31 kcal/mol of atoms
- Total energy: -2.56 eV per atom

Lattice parameters (Å, degrees): 6.707 6.707 6.707 137.61 137.61 61.50
Element x y z (fractional)
Na  0.000  0.000  0.000
Al  0.389  0.389  0.000
Al  0.611  0.611  0.000
Tl  0.250  0.750  0.500
Tl  0.750  0.250  0.500

Record 2
Compound: NaAlTl2
Source: Alexandria via LeMat-Bulk
Functional: PBE
Structure: optimized geometry

Results
- M_tot: 0.0 μB per cell
- Crystal system: tetragonal
- Fermi-level density of states: 0.4549 states/eV/atom
- Formation energy from the elements: 1.18 kcal/mol of atoms
- Total energy: -2.40 eV per atom

Lattice parameters (Å, degrees): 3.557 3.557 8.170 90.00 90.00 90.00
Element x y z (fractional)
Na  0.000  0.000  0.000
Al  0.000  0.000  0.500
Tl  0.500  0.500  0.275
Tl  0.500  0.500  0.725

Record 3
Compound: Na2AlTl2
Source: Alexandria via LeMat-Bulk
Functional: PBE
Structure: optimized geometry

Results
- M_tot: 0.0 μB per cell
- Crystal system: tetragonal
- Fermi-level density of states: 0.3947 states/eV/atom
- Formation energy from the elements: 3.96 kcal/mol of atoms
- Total energy: -2.05 eV per atom

Lattice parameters (Å, degrees): 8.799 8.799 3.535 90.00 90.00 90.00
Element x y z (fractional)
Na  0.132  0.368  0.000
Na  0.368  0.868  0.000
Na  0.632  0.132  0.000
Na  0.868  0.632  0.000
Al  0.000  0.000  0.000
Al  0.500  0.500  0.000
Tl  0.169  0.669  0.500
Tl  0.331  0.169  0.500
Tl  0.669  0.831  0.500
Tl  0.831  0.331  0.500

Record 4
Compound: NaAl2Tl2
Source: Alexandria via LeMat-Bulk
Functional: PBE
Structure: optimized geometry

Results
- M_tot: 0.0 μB per cell
- Crystal system: tetragonal
- Fermi-level density of states: 0.2512 states/eV/atom
- Formation energy from the elements: 4.27 kcal/mol of atoms
- Total energy: -2.52 eV per atom

Lattice parameters (Å, degrees): 8.673 8.673 3.386 90.00 90.00 90.00
Element x y z (fractional)
Na  0.000  0.000  0.000
Na  0.500  0.500  0.000
Al  0.118  0.382  0.500
Al  0.382  0.882  0.500
Al  0.618  0.118  0.500
Al  0.882  0.618  0.500
Tl  0.176  0.676  0.000
Tl  0.324  0.176  0.000
Tl  0.676  0.824  0.000
Tl  0.824  0.324  0.000

Record 5
Compound: NaAlTl2
Source: Alexandria via LeMat-Bulk
Functional: PBE
Structure: optimized geometry

Results
- M_tot: 0.0 μB per cell
- Crystal system: tetragonal
- Fermi-level density of states: 0.4678 states/eV/atom
- Formation energy from the elements: 1.98 kcal/mol of atoms
- Total energy: -2.36 eV per atom

Lattice parameters (Å, degrees): 4.964 4.964 4.123 90.00 90.00 90.00
Element x y z (fractional)
Na  0.000  0.000  0.000
Al  0.500  0.500  0.000
Tl  0.000  0.500  0.500
Tl  0.500  0.000  0.500

Record 6
Compound: NaAl2Tl2
Source: Alexandria via LeMat-Bulk
Functional: PBE
Structure: optimized geometry

Results
- M_tot: 0.0 μB per cell
- Crystal system: tetragonal
- Fermi-level density of states: 0.3777 states/eV/atom
- Formation energy from the elements: 3.64 kcal/mol of atoms
- Total energy: -2.55 eV per atom

Lattice parameters (Å, degrees): 8.322 8.322 3.641 90.00 90.00 90.00
Element x y z (fractional)
Na  0.000  0.000  0.000
Na  0.500  0.500  0.000
Al  0.116  0.384  0.000
Al  0.384  0.884  0.000
Al  0.616  0.116  0.000
Al  0.884  0.616  0.000
Tl  0.184  0.684  0.500
Tl  0.316  0.184  0.500
Tl  0.684  0.816  0.500
Tl  0.816  0.316  0.500

Record 7
Compound: NaAlTl2
Source: Alexandria via LeMat-Bulk
Functional: PBE
Structure: optimized geometry

Results
- M_tot: 0.0 μB per cell
- Crystal system: tetragonal
- Fermi-level density of states: 0.5393 states/eV/atom
- Formation energy from the elements: 5.28 kcal/mol of atoms
- Total energy: -2.22 eV per atom

Lattice parameters (Å, degrees): 10.826 10.826 10.826 154.84 154.84 35.89
Element x y z (fractional)
Na  0.000  0.000  0.000
Na  0.750  0.250  0.500
Al  0.250  0.750  0.500
Al  0.500  0.500  0.000
Tl  0.135  0.625  0.010
Tl  0.375  0.385  0.510
Tl  0.615  0.125  0.990
Tl  0.875  0.865  0.490

Record 8
Compound: NaAlTl2W
Source: Alexandria via LeMat-Bulk
Functional: PBE
Structure: optimized geometry

Results
- M_tot: 3.5 μB per cell
- Crystal system: tetragonal
- Fermi-level density of states: 0.4763 states/eV/atom
- Formation energy from the elements: 39.53 kcal/mol of atoms
- Total energy: -2.84 eV per atom

Lattice parameters (Å, degrees): 5.283 5.283 5.151 90.00 90.00 90.00
Element x y z (fractional)
Na  0.000  0.000  0.000
Al  0.000  0.000  0.500
Tl  0.000  0.500  0.000
Tl  0.500  0.000  0.000
W  0.500  0.500  0.500

Record 9
Compound: NaYAlTl
Source: Alexandria via LeMat-Bulk
Functional: PBE
Structure: optimized geometry

Results
- M_tot: 0.0 μB per cell
- Crystal system: cubic
- Fermi-level density of states: 0.4169 states/eV/atom
- Formation energy from the elements: -2.82 kcal/mol of atoms
- Total energy: -3.60 eV per atom

Lattice parameters (Å, degrees): 5.217 5.217 5.217 60.00 60.00 60.00
Element x y z (fractional)
Na  0.000  0.000  0.000
Y  0.500  0.500  0.500
Al  0.750  0.750  0.750
Tl  0.250  0.250  0.250

Record 10
Compound: NaAlTl2Zn
Source: Alexandria via LeMat-Bulk
Functional: PBE
Structure: optimized geometry

Results
- M_tot: 0.0 μB per cell
- Crystal system: tetragonal
- Fermi-level density of states: 0.8228 states/eV/atom
- Formation energy from the elements: 16.59 kcal/mol of atoms
- Total energy: -1.49 eV per atom

Lattice parameters (Å, degrees): 5.651 5.651 5.355 90.00 90.00 90.00
Element x y z (fractional)
Na  0.000  0.000  0.000
Al  0.000  0.000  0.500
Tl  0.000  0.500  0.000
Tl  0.500  0.000  0.000
Zn  0.500  0.500  0.500

Record 11
Compound: NaTmAl
Source: Alexandria via LeMat-Bulk
Functional: PBE
Structure: optimized geometry

Results
- M_tot: 0.0 μB per cell
- Crystal system: orthorhombic
- Fermi-level density of states: 0.6637 states/eV/atom
- Formation energy from the elements: 3.47 kcal/mol of atoms
- Total energy: -3.03 eV per atom

Lattice parameters (Å, degrees): 16.771 3.296 3.296 61.38 90.00 90.00
Element x y z (fractional)
Na  0.161  0.000  0.000
Na  0.839  0.000  0.000
Tm  0.357  0.349  0.349
Tm  0.643  0.349  0.349
Al  0.000  0.345  0.345
Al  0.500  0.010  0.010

Record 12
Compound: NaAlV2
Source: Alexandria via LeMat-Bulk
Functional: PBE
Structure: optimized geometry

Results
- M_tot: 4.5 μB per cell
- Crystal system: tetragonal
- Fermi-level density of states: 0.9374 states/eV/atom
- Formation energy from the elements: 21.60 kcal/mol of atoms
- Total energy: -4.89 eV per atom

Lattice parameters (Å, degrees): 10.183 10.183 10.183 158.48 158.48 30.61
Element x y z (fractional)
Na  0.000  0.000  0.000
Na  0.750  0.250  0.500
Al  0.250  0.750  0.500
Al  0.500  0.500  0.000
V  0.166  0.625  0.041
V  0.375  0.416  0.541
V  0.584  0.125  0.959
V  0.875  0.834  0.459